No. 1
The following is a GGA-PBE calculation of crystalline Pm4HoTm2Mg at its relaxed geometry, from the Alexandria database.

Results
Electronic total energy: -0.3129 Ry/atom
Density of states at the Fermi level: 1.2997 states/eV per atom
Formation energy from the elements: 0.06 eV/f.u.

Geometry as POSCAR:
```
Pm4HoTm2Mg
1.0
5.0491 0.0000 0.0000
0.0000 4.9060 1.1996
0.0001 2.5676 10.7782
Ho Pm Tm Mg
1 4 2 1
Direct
0.0000 0.5000 0.5000
0.5000 0.2465 0.7543
0.0000 0.2540 0.2457
0.0000 0.7460 0.7543
0.5000 0.7535 0.2457
0.0000 0.0000 0.0000
0.5000 0.0000 0.5000
0.5000 0.5000 0.0000
```

***

No. 2
The following is a GGA-PBE calculation of crystalline Pm6Ho2TmMg at its relaxed geometry, from the Alexandria database.

Results
Electronic total energy: -0.3126 Ry/atom
Density of states at the Fermi level: 1.3862 states/eV per atom
Formation energy from the elements: 1.19 eV/f.u.

Geometry as POSCAR:
```
Pm6Ho2TmMg
1.0
9.0859 -2.1848 -2.2673
0.8428 8.5043 -1.8861
0.8428 -2.2000 8.4285
Ho Mg Pm Tm
4 2 12 2
Direct
0.4483 0.8025 0.7047
0.9483 0.7047 0.8025
0.5517 0.1975 0.2953
0.0517 0.2953 0.1975
0.7500 0.5920 0.4080
0.2500 0.4080 0.5920
0.5508 0.7598 0.1221
0.9492 0.8779 0.2402
0.3075 0.9974 0.4328
0.6925 0.0026 0.5672
0.1130 0.7036 0.5029
0.6130 0.5029 0.7036
0.3870 0.4971 0.2964
0.8075 0.4328 0.9974
0.0508 0.1221 0.7598
0.4492 0.2402 0.8779
0.8870 0.2964 0.4971
0.1925 0.5672 0.0026
0.2500 0.9794 0.0206
0.7500 0.0206 0.9794
```

***

No. 3
The following is a GGA-PBE calculation of crystalline Pm2Ho2TmMg5 at its relaxed geometry, from the Alexandria database.

Results
Electronic total energy: -0.2252 Ry/atom
Density of states at the Fermi level: 0.6689 states/eV per atom
Formation energy from the elements: 0.47 eV/f.u.

Geometry as POSCAR:
```
Pm2Ho2TmMg5
1.0
5.0559 0.0000 0.0000
0.0000 10.5801 0.0000
0.0000 0.0000 10.5801
Mg Tm Ho Pm
10 2 4 4
Direct
0.5000 0.3026 0.5686
0.5000 0.1974 0.0686
0.5000 0.4314 0.3026
0.5000 0.6974 0.4314
0.5000 0.8026 0.9314
0.5000 0.0686 0.8026
0.5000 0.5000 0.0000
0.5000 0.5686 0.6974
0.5000 0.9314 0.1974
0.5000 0.0000 0.5000
0.0000 0.5000 0.5000
0.0000 0.0000 0.0000
0.0000 0.6199 0.8801
0.0000 0.8801 0.3801
0.0000 0.1199 0.6199
0.0000 0.3801 0.1199
0.0000 0.8228 0.6772
0.0000 0.3228 0.8228
0.0000 0.1772 0.3228
0.0000 0.6772 0.1772
```